Nd3Sm5Dy2 after structural relaxation. Source: Alexandria via LeMat-Bulk, functional PBE-GGA.

As for the calculated total energy: -4.526 eV/atom. The distance to the lowest polymorph of the same formula comes out at 0.00 eV/f.u. Its crystal system is monoclinic.

Structure (POSCAR):
```
Nd3Sm5Dy2
1.0
3.1573 -6.7814 6.3775
9.7291 0.0007 0.9625
-7.0134 8.5425 2.0908
Sm Nd Dy
10 6 4
Direct
0.4716 0.7216 0.4432 Sm
0.5284 0.2784 0.5568 Sm
0.7275 0.4775 0.9549 Sm
0.6126 0.8676 0.2585 Sm
0.9785 0.2285 0.4570 Sm
0.8541 0.6091 0.7415 Sm
0.2725 0.5225 0.0451 Sm
0.1459 0.3909 0.2585 Sm
0.3874 0.1324 0.7415 Sm
0.0215 0.7715 0.5430 Sm
0.7701 0.0201 0.0402 Nd
0.0186 0.7805 0.2486 Nd
0.9814 0.2195 0.7514 Nd
0.7300 0.4681 0.2486 Nd
0.2299 0.9799 0.9598 Nd
0.2700 0.5319 0.7514 Nd
0.2217 0.9865 0.2567 Dy
0.5350 0.2702 0.2567 Dy
0.4650 0.7298 0.7433 Dy
0.7783 0.0135 0.7433 Dy
```